[1]
DyErNp | PBE | relaxed

Results
Energy relative to the elements = 0.23 eV/atom

a b c (Å): 8.5626 8.5626 5.7699
angles (deg): 100.56 100.56 23.81
With the nearest neighbours (Å) after each atom.
Element x y z (fractional)
Dy: 0.1211 0.1211 0.3202  4 Np 3.26-3.59, 6 Er 3.49-3.56, 2 Dy 3.53
Dy: 0.8789 0.8789 0.6798  4 Np 3.26-3.59, 6 Er 3.49-3.56, 2 Dy 3.53
Er: 0.4333 0.4333 0.2077  3 Np 3.34-3.50, 6 Dy 3.49-3.56, 4 Er 3.53-3.68
Er: 0.5667 0.5667 0.7923  3 Np 3.34-3.50, 6 Dy 3.49-3.56, 4 Er 3.53-3.68
Np: 0.2383 0.2383 0.8583  2 Np 2.39
Np: 0.7617 0.7617 0.1417  2 Np 2.39

***

[2]
Nb6AgS8 | PBE | relaxed

Results
Raw formation energy = -0.855 eV per atom

a b c (Å): 6.7430 6.7430 6.7430
angles (deg): 91.97 91.97 91.97
With the nearest neighbours (Å) after each atom.
Element x y z (fractional)
Nb: 0.2038 0.5460 0.4005  5 S 2.48-2.57
Nb: 0.4005 0.2038 0.5460  5 S 2.48-2.57
Nb: 0.4540 0.5995 0.7962  5 S 2.48-2.57
Nb: 0.5460 0.4005 0.2038  5 S 2.48-2.57
Nb: 0.5995 0.7962 0.4540  5 S 2.48-2.57
Nb: 0.7962 0.4540 0.5995  5 S 2.48-2.57
Ag: 0.0000 0.0000 0.0000  2 S 2.44
S: 0.1383 0.3995 0.7298  4 Nb 2.48-2.57
S: 0.2167 0.2167 0.2167  1 Ag 2.44, 3 Nb 2.51
S: 0.2702 0.8617 0.6005  4 Nb 2.48-2.57
S: 0.3995 0.7298 0.1383  4 Nb 2.48-2.57
S: 0.6005 0.2702 0.8617  4 Nb 2.48-2.57
S: 0.7298 0.1383 0.3995  4 Nb 2.48-2.57
S: 0.7833 0.7833 0.7833  1 Ag 2.44, 3 Nb 2.51
S: 0.8617 0.6005 0.2702  4 Nb 2.48-2.57

***

[3]
KReBr2 | PBE | relaxed

Results
Energy above the lowest structure with this stoichiometry = 0.0230 eV/atom
Raw formation energy = 0.230 eV per atom

a b c (Å): 6.9008 6.9008 6.9008
angles (deg): 35.12 35.12 35.12
With the nearest neighbours (Å) after each atom.
Element x y z (fractional)
K: 0.0000 0.0000 0.0000  6 Br 3.23
Re: 0.5000 0.5000 0.5000  6 Br 2.64
Br: 0.2224 0.2224 0.2224  3 Re 2.64
Br: 0.7776 0.7776 0.7776  3 Re 2.64

***

[4]
LiZnOs4 | PBE | relaxed

Results
Energy relative to the elements = 0.61 eV/atom

a b c (Å): 5.1458 5.1458 5.1458
angles (deg): 60.00 60.00 60.00
With the nearest neighbours (Å) after each atom.
Element x y z (fractional)
Li: 0.0000 0.0000 0.0000  12 Os 3.02, 4 Zn 3.15
Zn: 0.2500 0.2500 0.2500  12 Os 3.02, 4 Li 3.15
Os: 0.1250 0.6250 0.6250  6 Os 2.57
Os: 0.6250 0.1250 0.6250  6 Os 2.57
Os: 0.6250 0.6250 0.1250  6 Os 2.57
Os: 0.6250 0.6250 0.6250  6 Os 2.57

***

[5]
VAuSe3 | PBE | relaxed

Results
Energy above the lowest structure with this stoichiometry = 0.0000 eV/atom
Raw formation energy = -0.226 eV per atom

a b c (Å): 7.6192 7.6192 7.0276
angles (deg): 100.88 100.88 30.96
With the nearest neighbours (Å) after each atom.
Element x y z (fractional)
V: 0.2112 0.2112 0.2311  7 Se 2.51-2.76
V: 0.7888 0.7888 0.7689  7 Se 2.51-2.76
Au: 0.4463 0.4463 0.3167  3 Se 2.63-2.69, 1 Au 2.75
Au: 0.5537 0.5537 0.6833  3 Se 2.63-2.69, 1 Au 2.75
Se: 0.0375 0.0375 0.1881  1 V 2.51, 1 Se 2.66, 2 Au 2.69
Se: 0.1810 0.1810 0.5792  3 V 2.57-2.76
Se: 0.3257 0.3257 0.9859  3 V 2.54-2.63, 1 Au 2.63
Se: 0.6743 0.6743 0.0141  3 V 2.54-2.63, 1 Au 2.63
Se: 0.8190 0.8190 0.4208  3 V 2.57-2.76
Se: 0.9625 0.9625 0.8119  1 V 2.51, 1 Se 2.66, 2 Au 2.69

***

[6]
Co2NiPt2 | PBE | relaxed

Results
Energy relative to the elements = 0.09 eV/atom
Energy above the lowest structure with this stoichiometry = 0.0675 eV/atom

a b c (Å): 4.4662 4.4662 4.1176
angles (deg): 108.66 108.66 64.11
With the nearest neighbours (Å) after each atom.
Element x y z (fractional)
Co: 0.2378 0.7622 0.0000  2 Co 2.25-2.49, 2 Ni 2.41
Co: 0.7622 0.2378 0.0000  2 Co 2.25-2.49, 2 Ni 2.41
Ni: 0.5000 0.5000 0.5000  4 Co 2.41, 2 Pt 2.62
Pt: 0.1900 0.1900 0.6393  6 Co 2.57-2.72, 3 Ni 2.62-2.72, 1 Pt 2.66
Pt: 0.8100 0.8100 0.3607  6 Co 2.57-2.72, 3 Ni 2.62-2.72, 1 Pt 2.66

***

[7]
PmZnHg3 | PBE | relaxed

Results
Energy relative to the elements = -0.26 eV/atom
Energy above the lowest structure with this stoichiometry = 0.0000 eV/atom

a b c (Å): 4.6476 6.0849 9.1931
angles (deg): 78.52 75.39 67.86
With the nearest neighbours (Å) after each atom.
Element x y z (fractional)
Pm: 0.1691 0.3720 0.2919  8 Hg 3.20-3.58, 3 Zn 3.21-3.37
Pm: 0.8309 0.6280 0.7081  8 Hg 3.20-3.58, 3 Zn 3.21-3.37
Zn: 0.1251 0.0628 0.6856  6 Hg 2.76-2.94
Zn: 0.8749 0.9372 0.3144  6 Hg 2.76-2.94
Hg: 0.1691 0.7218 0.9418  1 Zn 2.81, 2 Hg 2.98
Hg: 0.3877 0.7584 0.4645  3 Zn 2.76-2.81, 2 Hg 2.90-2.91
Hg: 0.4744 0.1856 0.8633  5 Hg 2.90-3.18, 2 Zn 2.93-2.94
Hg: 0.5256 0.8144 0.1367  5 Hg 2.90-3.18, 2 Zn 2.93-2.94
Hg: 0.6123 0.2416 0.5355  3 Zn 2.76-2.81, 2 Hg 2.90-2.91
Hg: 0.8309 0.2782 0.0582  1 Zn 2.81, 2 Hg 2.98

***

[8]
HfTi2Fe | PBE | relaxed

Results
Energy relative to the elements = -0.09 eV/atom
Energy above the lowest structure with this stoichiometry = 0.0374 eV/atom

a b c (Å): 9.6913 9.6913 4.5946
angles (deg): 90.00 90.00 162.08
With the nearest neighbours (Å) after each atom.
Element x y z (fractional)
Hf: 0.1167 0.8833 0.7500  4 Fe 2.81, 2 Hf 3.02, 2 Ti 3.08
Hf: 0.8833 0.1167 0.2500  4 Fe 2.81, 2 Hf 3.02, 2 Ti 3.08
Ti: 0.2430 0.7570 0.2500  2 Fe 2.38
Ti: 0.4666 0.5334 0.7500  1 Fe 2.17
Ti: 0.5334 0.4666 0.2500  1 Fe 2.17
Ti: 0.7570 0.2430 0.7500  2 Fe 2.38
Fe: 0.3532 0.6468 0.7500  3 Ti 2.17-2.38
Fe: 0.6468 0.3532 0.2500  3 Ti 2.17-2.38

***

no.,uncorrected energy (eV per atom)
1,-7.14
2,-7.27
3,-3.99
4,-7.41
5,-4.80
6,-6.33
7,-1.64
8,-8.64